DFT (PBE) results for crystalline K3AcEr2Se6 at its relaxed geometry.

Results
* energy relative to the elements, uncorrected: -1763 meV per atom

POSCAR file:
```
K3AcEr2Se6
1.0
3.738 -6.477 0.000
3.738 6.477 0.000
-2.506 0.000 7.709
K Ac Er Se
3 1 2 6
direct
0.000 0.000 0.000
0.336 0.664 0.000
0.664 0.336 0.000
0.500 0.500 0.500
0.167 0.833 0.500
0.833 0.167 0.500
0.076 0.430 0.293
0.215 0.215 0.707
0.430 0.076 0.293
0.570 0.924 0.707
0.785 0.785 0.293
0.924 0.570 0.707
```